Entry 1:
28
Lattice="-3.238 -0.432 -4.826 -6.735 -2.326 4.727 -3.698 13.329 1.289" Properties=species:S:1:pos:R:3 comment="Ca3Sb2Pd2 | Alexandria | PBE-GGA | relaxed" sg="No. 57" raw_formation_energy_kj_per_mol_fu=-633 final_energy_ry_per_atom=-0.328 m_tot_mub_per_cell=0.0 pbc="T T T"
Ca -6.017 3.868 2.667
Ca -8.727 5.847 4.308
Ca -9.838 9.852 4.695
Ca -4.906 -0.137 2.280
Ca -9.982 7.949 1.466
Ca -3.689 2.623 -0.275
Ca -7.980 1.337 0.714
Ca -8.765 10.709 -1.089
Ca -4.944 4.725 -3.117
Ca -5.691 9.235 0.477
Ca -3.833 0.720 -3.505
Ca -7.654 6.704 -1.476
Pd -6.582 4.143 -0.276
Pd -5.647 11.769 -1.586
Pd -7.089 6.429 1.467
Pd -9.210 3.079 3.190
Pd -4.461 7.494 -1.999
Pd -8.275 10.705 1.880
Pd -5.396 -0.132 -0.690
Pd -8.024 -1.197 2.777
Sb -7.381 1.200 3.848
Sb -9.114 4.625 0.890
Sb -7.266 -2.039 0.246
Sb -6.290 9.372 -2.657
Sb -4.557 5.947 0.300
Sb -7.338 8.518 3.164
Sb -6.333 2.054 -1.973
Sb -2.708 -0.718 -0.344

Entry 2:
9
Lattice="5.770 0.000 0.000 -2.885 4.865 1.152 0.000 0.134 6.295" Properties=species:S:1:pos:R:3 comment="Ca2SbPd6 | Alexandria | PBE-GGA | relaxed" sg="No. 12" raw_formation_energy_kj_per_mol_fu=-532 final_energy_ry_per_atom=-0.366 m_tot_mub_per_cell=0.0 pbc="T T T"
Pd 0.000 1.221 2.272
Pd 4.258 1.431 4.596
Pd -1.373 3.567 2.850
Pd 1.513 1.431 4.596
Pd 2.885 3.777 5.175
Pd 1.373 3.567 2.850
Ca 2.885 1.403 1.367
Ca 0.000 3.595 6.080
Sb 0.000 0.000 0.000

Entry 3:
12
Lattice="-2.944 0.238 3.594 -5.034 -3.833 -3.870 2.982 -6.839 2.894" Properties=species:S:1:pos:R:3 comment="CaSbPd | Alexandria | PBE-GGA | relaxed" sg="No. 62" raw_formation_energy_kj_per_mol_fu=-269 final_energy_ry_per_atom=-0.346 m_tot_mub_per_cell=0.0 pbc="T T T"
Sb -1.959 -5.035 3.244
Sb -3.540 -9.097 2.218
Sb -3.037 -5.399 -0.625
Sb -1.456 -1.336 0.401
Ca -4.097 -3.103 1.365
Ca 1.334 -4.761 2.913
Ca -6.330 -5.672 -0.293
Ca -0.898 -7.331 1.254
Pd -1.066 -4.009 0.897
Pd -0.405 -6.821 4.635
Pd -4.591 -3.613 -2.016
Pd -3.930 -6.425 1.722

Entry 4:
12
Lattice="-4.236 -1.566 3.447 2.436 -3.822 -3.425 5.848 -1.927 6.311" Properties=species:S:1:pos:R:3 comment="Ca2SbPd3 | Alexandria | PBE-GGA | relaxed" sg="No. 194" raw_formation_energy_kj_per_mol_fu=-460 final_energy_ry_per_atom=-0.349 m_tot_mub_per_cell=0.0 pbc="T T T"
Pd 2.477 -5.259 5.337
Pd 2.757 -3.918 -0.672
Pd 1.291 -3.398 7.005
Pd 1.571 -2.057 0.996
Pd 3.354 -2.635 5.326
Pd 0.694 -4.681 1.006
Sb 2.924 -0.964 3.155
Sb 0.000 0.000 0.000
Ca 0.547 -3.162 3.917
Ca 5.695 -4.877 4.782
Ca -1.647 -2.439 1.550
Ca 3.501 -4.154 2.415

Entry 5:
10
Lattice="-2.648 -1.813 3.309 1.678 -6.879 -2.426 4.226 3.327 5.205" Properties=species:S:1:pos:R:3 comment="CaSb2Pd7 | Alexandria | PBE-GGA | relaxed" sg="No. 65" raw_formation_energy_kj_per_mol_fu=-209 final_energy_ry_per_atom=-0.358 m_tot_mub_per_cell=0.0 pbc="T T T"
Pd 3.680 1.141 3.570
Pd -0.536 -2.704 1.301
Pd 3.216 -4.961 3.067
Pd 0.039 -0.403 3.021
Pd 3.790 -2.660 4.787
Pd 1.627 -2.682 3.044
Pd 2.223 -4.692 -0.791
Ca 0.000 0.000 0.000
Sb 2.134 -0.651 4.562
Sb 1.120 -4.713 1.526

Entry 6:
11
Lattice="5.914 0.000 0.000 2.957 5.212 0.000 2.957 0.000 8.197" Properties=species:S:1:pos:R:3 comment="Ca2Sb4Pd5 | Alexandria | PBE-GGA | relaxed" sg="No. 69" raw_formation_energy_kj_per_mol_fu=-619 final_energy_ry_per_atom=-0.353 m_tot_mub_per_cell=0.0 pbc="T T T"
Ca 2.957 0.000 5.985
Ca 5.914 0.000 2.211
Sb 5.914 3.579 2.091
Sb 8.871 3.579 6.106
Sb 2.957 1.633 2.091
Sb 5.914 1.633 6.106
Pd 7.392 2.606 4.098
Pd 4.435 2.606 4.098
Pd 4.435 2.606 0.000
Pd 1.478 2.606 0.000
Pd 2.957 0.000 0.000

Entry 7:
10
Lattice="-1.755 -0.078 -5.290 0.764 -9.048 -0.120 -3.287 4.227 3.965" Properties=species:S:1:pos:R:3 comment="CaSbPd3 | Alexandria | PBE-GGA | relaxed" sg="No. 74" raw_formation_energy_kj_per_mol_fu=-294 final_energy_ry_per_atom=-0.364 m_tot_mub_per_cell=0.0 pbc="T T T"
Pd -0.697 -2.321 -1.203
Pd -3.581 -2.578 -0.242
Pd -1.575 -2.360 -3.848
Pd -1.368 -6.370 0.548
Pd -2.704 -2.539 2.403
Pd -2.910 1.471 -1.993
Ca -2.390 -4.700 -2.075
Ca -1.889 -0.199 0.630
Sb 0.382 -4.524 -0.060
Sb -0.878 -0.039 -2.645

Entry 8:
16
Lattice="-1.461 -1.384 6.986 -4.892 -2.626 -1.543 4.789 -8.519 -0.686" Properties=species:S:1:pos:R:3 comment="CaSbPd2 | Alexandria | PBE-GGA | relaxed" sg="No. 51" raw_formation_energy_kj_per_mol_fu=-150 final_energy_ry_per_atom=-0.332 m_tot_mub_per_cell=0.0 pbc="T T T"
Pd -1.306 -1.724 1.696
Pd -0.257 -10.805 3.061
Pd 0.000 0.000 0.000
Pd -1.875 -2.263 4.415
Pd 0.311 -10.266 0.342
Pd -0.782 -6.265 2.379
Pd 1.664 -4.952 3.150
Pd -2.446 -1.313 -0.771
Sb -0.081 -2.689 -0.549
Sb -0.555 -3.836 2.907
Sb -0.022 -8.457 -1.680
Sb -1.009 -8.693 1.850
Ca -3.548 -4.175 2.214
Ca 1.985 -8.354 2.543
Ca -1.895 -5.125 -1.411
Ca 1.792 -6.020 -0.818